1.
TcMoW2 | PBEsol | optimized geometry

The space group is Fm-3m (No. 225) and the conventional cell measures 6.2358, 6.2358 and 6.2358 Å, with angles of 90.00, 90.00 and 90.00 degrees. Symmetry generates all atoms from Tc at (0.0000, 0.0000, 0.0000), Mo at (0.0000, 0.0000, 0.5000) and W at (0.2500, 0.2500, 0.2500).

As for the total DFT energy (no corrections): -12.6309 eV/atom. As for the crystal system: cubic.

2.
TcMoW2 | PBEsol | optimized geometry

The space group is Cmm2 (No. 35) and the conventional cell measures 3.1181, 4.4347 and 8.8004 Å, with angles of 90.00, 90.00 and 90.00 degrees. Symmetry generates all atoms from Tc at (0.0000, 0.0000, 0.0000), Mo at (0.0000, 0.5000, 0.2461), W at (0.0000, 0.0000, 0.4987) and W at (0.0000, 0.5000, 0.7534).

As for the total DFT energy (no corrections): -12.5885 eV/atom. As for the crystal system: orthorhombic.

3.
TcMoW2 | PBEsol | optimized geometry

The space group is F-43m (No. 216) and the conventional cell measures 6.2409, 6.2409 and 6.2409 Å, with angles of 90.00, 90.00 and 90.00 degrees. Symmetry generates all atoms from Tc at (0.0000, 0.0000, 0.0000), Mo at (0.2500, 0.2500, 0.2500), W at (0.0000, 0.0000, 0.5000) and W at (0.2500, 0.2500, 0.7500).

As for the total DFT energy (no corrections): -12.5945 eV/atom. As for the crystal system: cubic.